This record from the Alexandria database describes an optimized crystal structure of InP2Cl. The functional is PBE.

## Properties
The calculation puts the mass density at 4079 kg/m³. The total magnetic moment is 0.0 μB/cell. The calculation puts the formation energy from raw total energies at 322 meV/atom. The energy above the most stable polymorph in this dataset comes out at 0.572 eV/atom. The symmetry is P4/mmm, No. 123.

Lattice parameters (Å, degrees): 3.712 3.712 6.272 90.00 90.00 90.00
Element x y z (fractional)
P (0.500, 0.500, 0.000)
Cl (0.500, 0.000, 0.500)
In (0.000, 0.500, 0.500)
P (0.000, 0.000, 0.000)